# 1
Computed, not measured: crystalline NpAs2RuRh at its relaxed geometry at the PBE level of DFT.

Cell: 6.0963 6.0963 6.0963 Å, 140.95 140.95 56.42°
With the nearest neighbours (Å) after each atom.
Positions (direct):
Np: 0.0000 0.0000 0.0000  8 As 3.17, 4 Rh 3.37, 4 Ru 3.37
As: 0.3779 0.3779 0.0000  2 Rh 2.46, 2 Ru 2.46, 1 As 2.62
As: 0.6221 0.6221 0.0000  2 Rh 2.46, 2 Ru 2.46, 1 As 2.62
Ru: 0.2500 0.7500 0.5000  4 As 2.46
Rh: 0.7500 0.2500 0.5000  4 As 2.46

As for the energy relative to the elements: -0.461 eV per atom. The density of states at the Fermi level comes out at 9.9 states/eV per cell. As for the space group: I-4m2, No. 119.

=====

# 2
Computed, not measured: crystalline CeSiAg at its relaxed geometry at the PBE level of DFT.

Cell: 4.6966 4.6966 4.6966 Å, 60.00 60.00 60.00°
With the nearest neighbours (Å) after each atom.
Positions (direct):
Ce: 0.0000 0.0000 0.0000  4 Si 2.88
Si: 0.7500 0.7500 0.7500  4 Ag 2.88, 4 Ce 2.88
Ag: 0.5000 0.5000 0.5000  4 Si 2.88

The density of states at the Fermi level comes out at 5.5 states/eV per cell. As for the space group: F-43m, No. 216. For the uncorrected formation energy, the calculation gives -24.3 kJ/mol of atoms.

=====

# 3
Computed, not measured: crystalline Ba4Bi2S at its relaxed geometry at the PBE level of DFT.

Cell: 10.1727 10.1727 10.1727 Å, 146.36 146.36 48.32°
With the nearest neighbours (Å) after each atom.
Positions (direct):
Ba: 0.0000 0.5000 0.5000  2 S 2.94
Ba: 0.1774 0.1774 0.0000  1 S 3.29, 1 Bi 3.52
Ba: 0.5000 0.0000 0.5000  2 S 2.94
Ba: 0.8226 0.8226 0.0000  1 S 3.29, 1 Bi 3.52
Bi: 0.3670 0.3670 0.0000  5 Ba 3.52-3.84
Bi: 0.6330 0.6330 0.0000  5 Ba 3.52-3.84
S: 0.0000 0.0000 0.0000  6 Ba 2.94-3.29

As for the space group: I4/mmm, No. 139. For the uncorrected formation energy, the calculation gives -112.4 kJ/mol of atoms.

=====

# 4
Computed, not measured: crystalline Tb14PmHg at its relaxed geometry at the PBE level of DFT.

Cell: 11.2652 7.1681 7.1681 Å, 60.04 90.00 90.00°
With the nearest neighbours (Å) after each atom.
Positions (direct):
Tb: 0.0000 0.0000 0.0000  12 Tb 3.46-3.63
Tb: 0.0000 0.4938 0.9995  12 Tb 3.45-3.63
Tb: 0.0000 0.4978 0.4978  12 Tb 3.56-3.59
Tb: 0.0000 0.9995 0.4938  12 Tb 3.45-3.63
Tb: 0.2436 0.8302 0.8302  11 Tb 3.45-3.59, 1 Pm 3.49
Tb: 0.2580 0.3320 0.8284  1 Hg 3.41, 10 Tb 3.44-3.61, 1 Pm 3.47
Tb: 0.2580 0.8284 0.3320  1 Hg 3.41, 10 Tb 3.44-3.61, 1 Pm 3.47
Tb: 0.2599 0.3320 0.3320  1 Hg 3.40, 11 Tb 3.45-3.61
Tb: 0.5000 0.5103 0.9877  8 Tb 3.42-3.75, 2 Pm 3.43-3.74, 2 Hg 3.56-3.61
Tb: 0.5000 0.9877 0.5103  8 Tb 3.42-3.75, 2 Pm 3.43-3.74, 2 Hg 3.56-3.61
Tb: 0.7401 0.3320 0.3320  1 Hg 3.40, 11 Tb 3.45-3.61
Tb: 0.7420 0.3320 0.8284  1 Hg 3.41, 10 Tb 3.44-3.61, 1 Pm 3.47
Tb: 0.7420 0.8284 0.3320  1 Hg 3.41, 10 Tb 3.44-3.61, 1 Pm 3.47
Tb: 0.7564 0.8302 0.8302  11 Tb 3.45-3.59, 1 Pm 3.49
Pm: 0.5000 0.9880 0.9880  10 Tb 3.43-3.74, 2 Hg 3.59
Hg: 0.5000 0.4975 0.4975  10 Tb 3.40-3.61, 2 Pm 3.59

As for the energy relative to the elements: -0.030 eV per atom. The density of states at the Fermi level comes out at 20.0 states/eV per cell. As for the space group: Amm2, No. 38.

=====

# 5
Computed, not measured: crystalline Pr2Sm6Er3Tm at its relaxed geometry at the PBE level of DFT.

Cell: 6.2385 6.2385 11.9147 Å, 95.00 95.00 119.99°
With the nearest neighbours (Å) after each atom.
Positions (direct):
Pr: 0.1666 0.8334 0.0000  3 Pr 3.60, 3 Tm 3.60, 6 Sm 3.64
Pr: 0.8334 0.1666 0.0000  3 Pr 3.60, 3 Tm 3.60, 6 Sm 3.64
Sm: 0.0837 0.4154 0.7461  3 Er 3.55-3.57, 6 Sm 3.58-3.61, 1 Tm 3.63, 2 Pr 3.64
Sm: 0.2528 0.2528 0.2543  3 Er 3.55-3.56, 6 Sm 3.59-3.61, 1 Tm 3.63, 2 Pr 3.64
Sm: 0.4154 0.0837 0.7461  3 Er 3.55-3.57, 6 Sm 3.58-3.61, 1 Tm 3.63, 2 Pr 3.64
Sm: 0.5846 0.9163 0.2539  3 Er 3.55-3.57, 6 Sm 3.58-3.61, 1 Tm 3.63, 2 Pr 3.64
Sm: 0.7472 0.7472 0.7457  3 Er 3.55-3.56, 6 Sm 3.59-3.61, 1 Tm 3.63, 2 Pr 3.64
Sm: 0.9163 0.5846 0.2539  3 Er 3.55-3.57, 6 Sm 3.58-3.61, 1 Tm 3.63, 2 Pr 3.64
Er: 0.0000 0.0000 0.5000  6 Sm 3.56, 6 Er 3.60-3.61
Er: 0.3337 0.6663 0.5000  6 Sm 3.55-3.57, 6 Er 3.59-3.61
Er: 0.6663 0.3337 0.5000  6 Sm 3.55-3.57, 6 Er 3.59-3.61
Tm: 0.5000 0.5000 0.0000  6 Pr 3.60, 6 Sm 3.63

As for the energy relative to the elements: 0.018 eV per atom. The density of states at the Fermi level comes out at 15.3 states/eV per cell. As for the space group: C2/m, No. 12.

=====

# 6
Computed, not measured: crystalline RbSc2Ge2 at its relaxed geometry at the PBE level of DFT.

Cell: 8.5630 8.5630 3.1373 Å, 90.00 90.00 90.00°
With the nearest neighbours (Å) after each atom.
Positions (direct):
Rb: 0.0000 0.0000 0.0000  2 Rb 3.14, 4 Sc 3.35
Rb: 0.5000 0.5000 0.0000  2 Rb 3.14, 4 Sc 3.35
Sc: 0.1322 0.3678 0.0000  6 Ge 2.95-2.98, 3 Sc 3.14-3.20
Sc: 0.3678 0.8678 0.0000  6 Ge 2.95-2.98, 3 Sc 3.14-3.20
Sc: 0.6322 0.1322 0.0000  6 Ge 2.95-2.98, 3 Sc 3.14-3.20
Sc: 0.8678 0.6322 0.0000  6 Ge 2.95-2.98, 3 Sc 3.14-3.20
Ge: 0.1585 0.6585 0.5000  6 Sc 2.95-2.98, 2 Ge 3.14
Ge: 0.3415 0.1585 0.5000  6 Sc 2.95-2.98, 2 Ge 3.14
Ge: 0.6585 0.8415 0.5000  6 Sc 2.95-2.98, 2 Ge 3.14
Ge: 0.8415 0.3415 0.5000  6 Sc 2.95-2.98, 2 Ge 3.14

As for the energy relative to the elements: -0.346 eV per atom. The density of states at the Fermi level comes out at 6.4 states/eV per cell. As for the space group: P4/mbm, No. 127.

=====

Across the entries above, VASP energy takes the values -8.235, -4.988, -3.963, -4.397, -4.652, -4.919 eV per atom, respectively.
Across the entries above, calculated volume takes the values 89.2, 73.3, 321.8, 501.5, 395.5, 230.0 Å³/cell, respectively.